1.
Crystalline LaICl at its relaxed geometry, computed with PBE.

abc: 3.8849 7.6607 8.6584
angles: 69.11 77.16 75.40
Space group P-1 (No. 2)
Inequivalent atoms, fractional coordinates:
La 0.1294 0.2768 0.4628 (multiplicity 2)
I 0.1758 0.8814 0.7710 (multiplicity 2)
Cl 0.4593 0.3908 0.6933 (multiplicity 2)

## Properties
Total energy, eV per cell: -26.6
Total moment, μB/f.u.: 0.17
Relative energy among the computed polymorphs, meV/atom: 54
Energy relative to the elements, uncorrected, eV/f.u.: -5.0

2.
Crystalline La2I2Cl at its relaxed geometry, computed with PBE.

abc: 7.8824 7.8824 5.3493
angles: 90.00 90.00 90.00
Space group P4/mbm (No. 127)
Inequivalent atoms, fractional coordinates:
La 0.1618 0.3382 0.0000 (multiplicity 4)
I 0.1636 0.6636 0.5000 (multiplicity 4)
Cl 0.0000 0.0000 0.0000 (multiplicity 2)

## Properties
Total energy, eV per cell: -43.0
Total moment, μB/f.u.: 0.00
Relative energy among the computed polymorphs, meV/atom: 153
Energy relative to the elements, uncorrected, eV/f.u.: -6.7

3.
Crystalline LaI3Cl at its relaxed geometry, computed with PBE.

abc: 6.2854 6.2854 6.2854
angles: 90.00 90.00 90.00
Space group Pm-3m (No. 221)
Inequivalent atoms, fractional coordinates:
La 0.0000 0.0000 0.0000 (multiplicity 1)
I 0.0000 0.0000 0.5000 (multiplicity 3)
Cl 0.5000 0.5000 0.5000 (multiplicity 1)

## Properties
Total energy, eV per cell: -15.9
Total moment, μB/f.u.: 1.00
Energy relative to the elements, uncorrected, eV/f.u.: -4.5

4.
Crystalline La3ICl at its relaxed geometry, computed with PBE.

abc: 5.4840 5.4840 5.4840
angles: 90.00 90.00 90.00
Space group Pm-3m (No. 221)
Inequivalent atoms, fractional coordinates:
La 0.0000 0.0000 0.5000 (multiplicity 3)
I 0.5000 0.5000 0.5000 (multiplicity 1)
Cl 0.0000 0.0000 0.0000 (multiplicity 1)

## Properties
Total energy, eV per cell: -21.3
Total moment, μB/f.u.: 0.00
Relative energy among the computed polymorphs, meV/atom: 0
Energy relative to the elements, uncorrected, eV/f.u.: -3.1

5.
Crystalline La2ICl2 at its relaxed geometry, computed with PBE.

abc: 4.7907 4.7907 13.7576
angles: 90.00 90.00 90.00
Space group I4/mmm (No. 139)
Inequivalent atoms, fractional coordinates:
La 0.0000 0.0000 0.1173 (multiplicity 4)
I 0.0000 0.0000 0.5000 (multiplicity 2)
Cl 0.0000 0.5000 0.2500 (multiplicity 4)

## Properties
Total energy, eV per cell: -44.1
Total moment, μB/f.u.: 2.42
Energy relative to the elements, uncorrected, eV/f.u.: -7.0

6.
Crystalline La2I2Cl at its relaxed geometry, computed with PBE.

abc: 13.1681 6.1237 9.0168
angles: 90.00 108.28 90.00
Space group C2/m (No. 12)
Inequivalent atoms, fractional coordinates:
La 0.0066 0.0000 0.2946 (multiplicity 4)
La 0.1609 0.5000 0.5709 (multiplicity 4)
I 0.9998 0.5000 0.2152 (multiplicity 4)
I 0.1662 0.0000 0.0794 (multiplicity 4)
Cl 0.1795 0.0000 0.5991 (multiplicity 4)

## Properties
Total energy, eV per cell: -87.9
Total moment, μB/f.u.: 0.00
Relative energy among the computed polymorphs, meV/atom: 55
Energy relative to the elements, uncorrected, eV/f.u.: -7.2

7.
Crystalline La2I2Cl at its relaxed geometry, computed with PBE.

abc: 4.3505 4.3505 34.0183
angles: 90.00 90.00 120.00
Space group R-3m (No. 166, hexagonal axes)
Inequivalent atoms, fractional coordinates:
La 0.0000 0.0000 0.1230 (multiplicity 6)
I 0.0000 0.0000 0.2712 (multiplicity 6)
Cl 0.0000 0.0000 0.5000 (multiplicity 3)

## Properties
Total energy, eV per cell: -66.7
Total moment, μB/f.u.: 0.00
Relative energy among the computed polymorphs, meV/atom: 0
Energy relative to the elements, uncorrected, eV/f.u.: -7.4

8.
Crystalline LaICl at its relaxed geometry, computed with PBE.

abc: 3.7855 3.7855 14.4521
angles: 90.00 90.00 90.00
Space group I4mm (No. 107)
Inequivalent atoms, fractional coordinates:
La 0.0000 0.0000 0.0000 (multiplicity 2)
I 0.0000 0.0000 0.3627 (multiplicity 2)
Cl 0.0000 0.0000 0.6052 (multiplicity 2)

## Properties
Total energy, eV per cell: -27.0
Total moment, μB/f.u.: 0.00
Relative energy among the computed polymorphs, meV/atom: 0
Energy relative to the elements, uncorrected, eV/f.u.: -5.2

9.
Crystalline La2ICl at its relaxed geometry, computed with PBE.

abc: 6.9847 6.9847 13.6198
angles: 90.00 90.00 90.00
Space group I-42d (No. 122)
Inequivalent atoms, fractional coordinates:
La 0.2071 0.2500 0.1250 (multiplicity 8)
I 0.0000 0.0000 0.5000 (multiplicity 4)
Cl 0.0000 0.0000 0.0000 (multiplicity 4)

## Properties
Total energy, eV per cell: -66.0
Total moment, μB/f.u.: 0.14
Relative energy among the computed polymorphs, meV/atom: 434
Energy relative to the elements, uncorrected, eV/f.u.: -3.2

10.
Crystalline La2I4Cl at its relaxed geometry, computed with PBE.

abc: 5.6226 5.6226 30.7308
angles: 90.00 90.00 120.00
Space group R-3m (No. 166, hexagonal axes)
Inequivalent atoms, fractional coordinates:
La 0.0000 0.0000 0.0906 (multiplicity 6)
I 0.0000 0.0000 0.2030 (multiplicity 6)
I 0.0000 0.0000 0.3946 (multiplicity 6)
Cl 0.0000 0.0000 0.0000 (multiplicity 3)

## Properties
Total energy, eV per cell: -84.8
Total moment, μB/f.u.: 1.23
Energy relative to the elements, uncorrected, eV/f.u.: -10.4

11.
Crystalline La2ICl at its relaxed geometry, computed with PBE.

abc: 3.8649 3.8649 27.3761
angles: 90.00 90.00 120.00
Space group R-3m (No. 166, hexagonal axes)
Inequivalent atoms, fractional coordinates:
La 0.0000 0.0000 0.2424 (multiplicity 6)
I 0.0000 0.0000 0.0000 (multiplicity 3)
Cl 0.0000 0.0000 0.5000 (multiplicity 3)

## Properties
Total energy, eV per cell: -54.7
Total moment, μB/f.u.: 0.00
Relative energy among the computed polymorphs, meV/atom: 0
Energy relative to the elements, uncorrected, eV/f.u.: -5.0

12.
Crystalline LaI2NCl at its relaxed geometry, computed with PBE.

abc: 6.2875 6.2875 3.6124
angles: 90.00 90.00 90.00
Space group P4/mmm (No. 123)
Inequivalent atoms, fractional coordinates:
La 0.0000 0.0000 0.0000 (multiplicity 1)
I 0.0000 0.5000 0.5000 (multiplicity 2)
N 0.5000 0.5000 0.0000 (multiplicity 1)
Cl 0.5000 0.5000 0.5000 (multiplicity 1)

## Properties
Total energy, eV per cell: -16.3
Total moment, μB/f.u.: 0.04
Relative energy among the computed polymorphs, meV/atom: 470
Energy relative to the elements, uncorrected, eV/f.u.: 1.9